Here is a geometry-optimized CoRuCl3 structure from Alexandria. Energies are from PBE.

Formation energy (no corrections) ... -207.9 meV/atom
Energy relative to the lowest polymorph listed for this composition ... 40.3 meV per atom
SG ... P1 (1)

Lattice parameters (Å, degrees): 8.3626 3.5230 8.7561 101.60 61.74 102.04
Last column: nearest neighbours and their distance in Å.
Fractional coordinates of all 10 atoms:
Ru 0.4932 0.0379 0.8474  4 Co 2.39-2.56, 3 Cl 2.57-2.60
Ru 0.5568 0.3417 0.3922  6 Cl 2.32-2.41
Co 0.7124 0.6122 0.7789  3 Cl 2.32-2.36, 2 Ru 2.39, 1 Co 2.45
Co 0.4611 0.6362 0.0756  4 Cl 2.33-2.46, 1 Co 2.45, 2 Ru 2.56
Cl 0.3238 0.1775 0.2942  1 Ru 2.40, 2 Co 2.45
Cl 0.8987 0.2021 0.7745  2 Co 2.32
Cl 0.7877 0.4997 0.4794  1 Ru 2.32, 1 Co 2.36
Cl 0.4137 0.8695 0.5895  3 Ru 2.36-2.57
Cl 0.2335 0.4770 0.9829  1 Co 2.33, 2 Ru 2.60
Cl 0.6953 0.8048 0.1811  2 Ru 2.41, 1 Co 2.46

***

Here is a geometry-optimized RbMnTcW2 structure from Alexandria. Energies are from PBE.

Formation energy ... 1.76 eV per atom
SG ... P4/mmm (123)

Lattice parameters (Å, degrees): 4.8612 5.1817 4.8612 90.00 90.00 90.00
Last column: nearest neighbours and their distance in Å.
Fractional coordinates of all 5 atoms:
Rb 0.5000 0.5000 0.5000  4 Mn 3.44, 8 W 3.55
Mn 0.0000 0.5000 0.0000  2 Tc 2.59
Tc 0.0000 0.0000 0.0000  4 W 2.43, 2 Mn 2.59
W 0.0000 0.0000 0.5000  2 Tc 2.43
W 0.5000 0.0000 0.0000  2 Tc 2.43

***

Spin magnetization readings, ordered: 3.00, 0.94 μB per formula unit